<1>
{
  "formula": "Pm2Nd7Tm3",
  "functional": "PBE-GGA",
  "state": "relaxed",
  "lattice": [[5.896, 0.000, 0.000], [0.000, 3.643, 0.000], [-1.330, 0.000, 19.056]],
  "species": ["Pm", "Pm", "Nd", "Nd", "Nd", "Nd", "Nd", "Nd", "Nd", "Tm", "Tm", "Tm"],
  "frac_coords": [[0.204, 0.000, 0.298], [0.796, 0.000, 0.702], [0.170, 0.500, 0.144], [0.241, 0.000, 0.465], [0.326, 0.000, 0.819], [0.500, 0.500, 0.000], [0.674, 0.000, 0.181], [0.759, 0.000, 0.535], [0.830, 0.500, 0.856], [0.000, 0.000, 0.000], [0.282, 0.500, 0.631], [0.718, 0.500, 0.369]],
  "magmom_total_mub_per_fu": 0.00,
  "dos_ef_per_ev_cell": 16.66,
  "space_group": "P2/m, No. 10",
  "crystal_system": "monoclinic"
}

<2>
{
  "formula": "Pm2Nd7Tm3",
  "functional": "PBE-GGA",
  "state": "relaxed",
  "lattice": [[6.252, 0.000, 0.000], [0.000, 5.500, 0.000], [-0.022, 0.000, 12.517]],
  "species": ["Pm", "Pm", "Nd", "Nd", "Nd", "Nd", "Nd", "Nd", "Nd", "Tm", "Tm", "Tm"],
  "frac_coords": [[0.101, 0.000, 0.279], [0.899, 0.000, 0.721], [0.056, 0.500, 0.819], [0.259, 0.000, 0.545], [0.419, 0.000, 0.829], [0.500, 0.500, 0.000], [0.581, 0.000, 0.171], [0.741, 0.000, 0.455], [0.944, 0.500, 0.181], [0.000, 0.000, 0.000], [0.435, 0.500, 0.346], [0.565, 0.500, 0.654]],
  "magmom_total_mub_per_fu": 0.00,
  "dos_ef_per_ev_cell": 18.26,
  "space_group": "P2/m, No. 10",
  "crystal_system": "monoclinic"
}

Which is the most stable structure? <1> is the most stable.

<1>
{
  "formula": "Pm7Nd2Tm2",
  "functional": "PBE-GGA",
  "state": "relaxed",
  "lattice": [[4.495, -6.335, 0.000], [4.495, 6.335, 0.000], [-1.794, 0.000, 6.743]],
  "species": ["Pm", "Pm", "Pm", "Pm", "Pm", "Pm", "Pm", "Nd", "Nd", "Tm", "Tm"],
  "frac_coords": [[0.000, 0.000, 0.000], [0.089, 0.584, 0.789], [0.322, 0.322, 0.386], [0.416, 0.911, 0.211], [0.584, 0.089, 0.789], [0.678, 0.678, 0.614], [0.911, 0.416, 0.211], [0.321, 0.321, 0.886], [0.679, 0.679, 0.114], [0.121, 0.879, 0.500], [0.879, 0.121, 0.500]],
  "magmom_total_mub_per_fu": 0.00,
  "dos_ef_per_ev_cell": 17.69,
  "space_group": "C2/m, No. 12",
  "crystal_system": "monoclinic"
}

<2>
{
  "formula": "Pm7Nd2Tm2",
  "functional": "PBE-GGA",
  "state": "relaxed",
  "lattice": [[6.271, 0.000, 0.000], [1.054, 6.203, 0.000], [1.052, -0.151, 9.531]],
  "species": ["Pm", "Pm", "Pm", "Pm", "Pm", "Pm", "Pm", "Nd", "Nd", "Tm", "Tm"],
  "frac_coords": [[0.000, 0.000, 0.000], [0.094, 0.818, 0.634], [0.180, 0.635, 0.276], [0.453, 0.090, 0.185], [0.547, 0.910, 0.815], [0.820, 0.365, 0.724], [0.906, 0.182, 0.366], [0.274, 0.455, 0.907], [0.726, 0.545, 0.093], [0.366, 0.272, 0.544], [0.634, 0.728, 0.456]],
  "magmom_total_mub_per_fu": 0.00,
  "dos_ef_per_ev_cell": 15.65,
  "space_group": "P-1, No. 2",
  "crystal_system": "triclinic"
}

Which is the most stable structure? <2> is the most stable.